No. 1
DFT (PBE-GGA) results for a relaxed Rb2Na9Ca crystal.

Lattice parameters (Å, degrees): 7.2172 7.2172 35.6395 90.00 90.00 120.00
Space group R-3m (No. 166, hexagonal axes)
Inequivalent atoms, fractional coordinates:
Rb: 0.0000 0.0000 0.1381 (multiplicity 6)
Na: 0.0000 0.0000 0.3332 (multiplicity 6)
Na: 0.0000 0.0000 0.5000 (multiplicity 3)
Na: 0.0000 0.5000 0.0784 (multiplicity 18)
Ca: 0.0000 0.0000 0.0000 (multiplicity 3)

Formation enthalpy at 0 K ... 0.062 eV per atom
M_tot ... 0.0000 μB/atom
Total energy ... -1.2554 eV per atom

---

No. 2
DFT (PBE-GGA) results for a relaxed Cs3CdI crystal.

Lattice parameters (Å, degrees): 7.4667 7.4667 7.4667 90.00 90.00 90.00
Space group Pm-3m (No. 221)
Inequivalent atoms, fractional coordinates:
Cs: 0.0000 0.0000 0.5000 (multiplicity 3)
Cd: 0.5000 0.5000 0.5000 (multiplicity 1)
I: 0.0000 0.0000 0.0000 (multiplicity 1)

Energy above the lowest structure with this stoichiometry ... 0.62 eV/f.u.
M_tot ... 0.0000 μB/atom
Total energy ... -1.4745 eV per atom
Energy relative to the elements, uncorrected ... -0.4693 eV per atom

---

No. 3
DFT (PBE-GGA) results for a relaxed OsC3S crystal.

Lattice parameters (Å, degrees): 3.5986 3.5986 3.5986 90.00 90.00 90.00
Space group Pm-3m (No. 221)
Inequivalent atoms, fractional coordinates:
Os: 0.0000 0.0000 0.0000 (multiplicity 1)
C: 0.0000 0.5000 0.5000 (multiplicity 3)
S: 0.5000 0.5000 0.5000 (multiplicity 1)

Energy above the lowest structure with this stoichiometry ... 2.60 eV/f.u.
M_tot ... 0.0000 μB/atom
Total energy ... -5.9238 eV per atom
Energy relative to the elements, uncorrected ... 2.6820 eV per atom